Here is NaCoOF2 after structural relaxation from Alexandria. Energies are from PBE with a Hubbard U.

a = 4.108 Å, b = 4.108 Å, c = 3.637 Å
α = 90.00°, β = 90.00°, γ = 90.00°
Space group P4/mmm (No. 123)
Symmetry-distinct sites (fractional):
Na 0.000 0.000 0.000 x1
Co 0.500 0.500 0.500 x1
O 0.500 0.500 0.000 x1
F 0.000 0.500 0.500 x2

Calculated values
The value obtained for the energy above the most stable polymorph in this dataset is 0.0000 eV per atom. As for the density of states at the Fermi level: 1.0 states/eV/cell.